The following is a PBE calculation of Sb2CI2 after structural relaxation, from the Alexandria database.

Cell: 4.2630 4.2630 9.3650 Å, 76.84 76.84 90.00°
Fractional coordinates of all 5 atoms:
1 I 0.4012 0.4012 0.1977
2 I 0.5988 0.5988 0.8023
3 Sb 0.7500 0.2500 0.5000
4 Sb 0.2500 0.7500 0.5000
5 C 0.0000 0.0000 0.0000

The excess energy over the best structure of this formula in the dataset comes out at 1.39 eV per formula unit. The uncorrected formation energy comes out at 1.532 eV/atom.